24
Lattice="2.8144 0.0000 0.0000 0.0000 8.4770 4.9689 0.0000 -8.4770 4.9689" Properties=species:S:1:pos:R:3 comment="Na8B9C7 | Alexandria | PBE | optimized geometry" e_tot_ry_per_atom=-0.412 de_polymorph_mev_per_atom=1.0 pbc="T T T"
Na 0.0000 -6.3521 4.9689
Na 0.0000 -2.1362 4.9384
Na 0.0000 2.1362 4.9384
Na 0.0000 6.3521 4.9689
Na 1.4072 -2.1226 2.4634
Na 1.4072 2.1226 2.4634
Na 1.4072 -2.1577 7.4324
Na 1.4072 2.1577 7.4324
B 0.0000 0.0000 3.3268
B 0.0000 -4.2386 6.5988
B 0.0000 0.0000 8.0525
B 0.0000 4.2386 6.5988
B 1.4072 0.0000 0.9309
B 1.4072 -4.2255 4.1149
B 1.4072 0.0000 5.7048
B 1.4072 4.2255 4.1149
B 1.4072 0.0000 9.1742
C 0.0000 -4.2228 3.2875
C 0.0000 0.0000 1.7309
C 0.0000 4.2228 3.2875
C 0.0000 0.0000 6.5173
C 1.4072 -4.2274 5.7714
C 1.4072 0.0000 4.1221
C 1.4072 4.2274 5.7714

30
Lattice="11.6467 -1.4258 0.0000 11.6467 1.4258 0.0000 -2.8197 0.0000 9.6943" Properties=species:S:1:pos:R:3 comment="Na5B8C2 | Alexandria | PBE | optimized geometry" e_tot_ry_per_atom=-0.371 de_polymorph_mev_per_atom=16.8 pbc="T T T"
Na 0.0000 0.0000 0.0000
Na 0.3506 0.0000 6.7742
Na 3.4759 0.0000 3.8787
Na 6.7090 0.0000 0.9403
Na 7.0477 0.0000 7.7582
Na 10.2438 0.0000 4.7973
Na 13.3669 0.0000 1.9393
Na 13.7755 0.0000 8.6995
Na 16.8958 0.0000 5.8210
Na 20.1028 0.0000 2.8793
B -0.5302 0.0000 2.6125
B 0.7018 0.0000 3.9611
B 0.0260 0.0000 9.6192
B 3.9996 0.0000 1.2070
B 3.0476 0.0000 6.5554
B 4.2728 0.0000 7.9080
B 6.2467 0.0000 3.6715
B 7.3606 0.0000 4.8864
B 9.4533 0.0000 0.7904
B 9.8808 0.0000 7.6675
B 11.0253 0.0000 8.9099
B 13.0489 0.0000 4.7382
B 17.1974 0.0000 2.9109
B 16.6320 0.0000 8.6849
B 19.7344 0.0000 5.6766
B 20.8434 0.0000 6.9032
C 10.5734 0.0000 2.0164
C 14.1466 0.0000 5.9443
C 16.1508 0.0000 1.7664
C 20.5460 0.0000 0.1864

5
Lattice="3.5763 0.0000 0.0000 0.0000 3.5763 0.0000 0.0000 0.0000 3.5763" Properties=species:S:1:pos:R:3 comment="NaBC3 | Alexandria | PBE | optimized geometry" e_tot_ry_per_atom=-0.358 de_polymorph_mev_per_atom=0.0 pbc="T T T"
Na 0.0000 0.0000 0.0000
B 1.7881 1.7881 1.7881
C 0.0000 1.7881 1.7881
C 1.7881 0.0000 1.7881
C 1.7881 1.7881 0.0000

18
Lattice="5.1320 0.0000 0.0000 -2.5660 4.4444 0.0000 0.0000 0.0000 8.5774" Properties=species:S:1:pos:R:3 comment="Na3B5C | Alexandria | PBE | optimized geometry" e_tot_ry_per_atom=-0.363 de_polymorph_mev_per_atom=48.7 pbc="T T T"
Na -0.8580 1.4861 2.1329
Na -0.8580 1.4861 6.4445
Na 1.7160 0.0000 2.1329
Na 1.7160 0.0000 6.4445
Na 1.7080 2.9583 2.1329
Na 1.7080 2.9583 6.4445
B 0.0000 0.0000 0.0000
B 0.0000 0.0000 4.2887
B -1.6703 2.8930 0.0000
B -1.7100 2.9617 4.2887
B 0.0000 2.9630 4.2887
B 0.8560 1.4827 4.2887
B 0.8957 1.5515 0.0000
B 3.3405 0.0000 0.0000
B 3.4199 0.0000 4.2887
B 2.5660 1.4815 4.2887
C 0.0000 2.9630 0.0000
C 2.5660 1.4815 0.0000

30
Lattice="5.0923 0.0000 0.0000 0.0000 8.6288 0.0000 -2.5439 0.0000 7.3367" Properties=species:S:1:pos:R:3 comment="Na5B8C2 | Alexandria | PBE | optimized geometry" e_tot_ry_per_atom=-0.369 de_polymorph_mev_per_atom=39.7 pbc="T T T"
Na 0.0000 2.1167 0.0000
Na 0.0000 6.5121 0.0000
Na 0.0150 2.1480 2.9391
Na 0.0150 6.4809 2.9391
Na -0.0076 2.1350 5.8735
Na -0.0076 6.4938 5.8735
Na 2.5560 2.1485 1.4755
Na 2.5560 6.4803 1.4755
Na 2.5465 2.1385 4.4027
Na 2.5465 6.4904 4.4027
B -1.6359 0.0000 5.8614
B -0.9190 4.3144 4.5353
B 0.9122 0.0000 1.4865
B 0.9233 4.3144 1.4952
B -0.9215 4.3144 7.2076
B 0.7944 0.0000 4.3352
B 0.8071 4.3144 4.3824
B 1.7327 4.3144 2.9960
B 3.2911 0.0000 0.0073
B 3.3503 4.3144 0.0225
B 1.7212 0.0000 5.8559
B 1.7307 4.3144 5.8751
B 3.3403 0.0000 3.0100
B 3.4721 4.3144 2.9140
B 4.2759 4.3144 1.4053
B 4.2675 0.0000 1.4881
C -1.7536 4.3144 5.8706
C -0.8404 0.0000 4.4060
C 1.7232 0.0000 0.0045
C 1.7067 0.0000 2.9376

30
Lattice="2.9369 0.0000 0.0000 -1.4685 2.5434 0.0000 0.0000 0.0000 42.9841" Properties=species:S:1:pos:R:3 comment="Na5B8C2 | Alexandria | PBE | optimized geometry" e_tot_ry_per_atom=-0.368 de_polymorph_mev_per_atom=52.1 pbc="T T T"
Na 0.0000 0.0000 0.0000
Na 0.0000 0.0000 4.2173
Na 0.0000 0.0000 8.5618
Na 0.0000 0.0000 12.7924
Na 0.0000 0.0000 17.1355
Na 0.0000 0.0000 21.4920
Na 0.0000 0.0000 25.8486
Na 0.0000 0.0000 30.1917
Na 0.0000 0.0000 34.4223
Na 0.0000 0.0000 38.7668
B 0.0000 1.6956 2.1001
B 0.0000 1.6956 6.3912
B 0.0000 1.6956 10.6821
B 0.0000 1.6956 14.9655
B 0.0000 1.6956 19.3200
B 0.0000 1.6956 23.6641
B 0.0000 1.6956 28.0186
B 0.0000 1.6956 36.5928
B 1.4685 0.8478 6.3913
B 1.4685 0.8478 14.9655
B 1.4685 0.8478 19.3200
B 1.4685 0.8478 23.6641
B 1.4685 0.8478 28.0186
B 1.4685 0.8478 32.3019
B 1.4685 0.8478 36.5929
B 1.4685 0.8478 40.8840
C 0.0000 1.6956 32.3008
C 0.0000 1.6956 40.8860
C 1.4685 0.8478 2.0981
C 1.4685 0.8478 10.6833

30
Lattice="1.4165 -12.4897 0.0000 1.4165 12.4897 0.0000 0.0000 0.0000 8.4875" Properties=species:S:1:pos:R:3 comment="Na5B6C4 | Alexandria | PBE | optimized geometry" e_tot_ry_per_atom=-0.405 de_polymorph_mev_per_atom=6.5 pbc="T T T"
Na 0.0000 0.0000 0.0000
Na 0.0000 0.0000 4.2437
Na 1.4165 7.4912 4.2511
Na 1.4165 7.4912 8.4801
Na 1.4165 2.5009 0.0260
Na 1.4165 2.5009 4.2177
Na 1.4165 -2.5009 4.2698
Na 1.4165 -2.5009 8.4614
Na 1.4165 -7.4912 0.0074
Na 1.4165 -7.4912 4.2364
B 1.4165 10.9645 6.3656
B 1.4165 9.1765 6.3656
B 1.4165 9.1525 2.1219
B 1.4165 5.7550 6.3656
B 1.4165 4.3183 2.1219
B 1.4165 0.9125 6.3656
B 1.4165 -0.9125 2.1219
B 1.4165 -4.3183 6.3656
B 1.4165 -5.7550 2.1219
B 1.4165 -9.1525 6.3656
B 1.4165 -9.1765 2.1219
B 1.4165 -10.9645 2.1219
C 1.4165 10.7922 2.1219
C 1.4165 5.9276 2.1219
C 1.4165 4.1287 6.3656
C 1.4165 0.7362 2.1219
C 1.4165 -0.7362 6.3656
C 1.4165 -4.1287 2.1219
C 1.4165 -5.9276 6.3656
C 1.4165 -10.7922 6.3656

30
Lattice="5.0266 0.0000 0.0000 0.0000 8.6543 0.0000 -2.5108 0.0000 7.4127" Properties=species:S:1:pos:R:3 comment="Na5B8C2 | Alexandria | PBE | optimized geometry" e_tot_ry_per_atom=-0.370 de_polymorph_mev_per_atom=30.3 pbc="T T T"
Na 0.0000 2.1443 0.0000
Na 0.0000 6.5099 0.0000
Na 0.0011 2.1572 2.9527
Na 0.0011 6.4971 2.9527
Na 0.0247 2.1645 5.9162
Na 0.0247 6.4898 5.9162
Na 2.5077 2.1515 1.4747
Na 2.5077 6.5028 1.4747
Na 2.5379 2.1516 4.4423
Na 2.5379 6.5027 4.4423
B -1.6878 0.0000 5.9236
B -1.5730 4.3271 5.8927
B -0.7821 4.3271 4.3778
B 0.9862 0.0000 1.3652
B 1.5954 4.3271 0.1338
B 0.8338 0.0000 4.5269
B 0.9464 4.3271 4.4651
B 1.5987 4.3271 2.8146
B 1.6099 0.0000 2.9377
B 0.8294 0.0000 7.3210
B 0.8118 4.3271 7.3692
B 1.7288 4.3271 5.9843
B 3.3250 4.3271 2.9963
B 3.5051 0.0000 3.0739
B 4.1203 0.0000 1.4956
B 4.1778 4.3271 1.4747
C -0.8631 0.0000 4.5143
C 0.7815 4.3271 1.4750
C -0.8636 0.0000 7.3317
C 1.6478 0.0000 5.9236

| no. | formation energy from the elements (eV/atom) |
| --- | --- |
| 1 | 0.0308 |
| 2 | 0.1871 |
| 3 | 2.2676 |
| 4 | 0.2403 |
| 5 | 0.2100 |
| 6 | 0.2224 |
| 7 | 0.0584 |
| 8 | 0.2006 |